1.
{"formula": "Mg2TaB2Ir5", "functional": "GGA-PBE", "state": "relaxed", "dft_energy_ev_per_atom": -7.782, "formation_energy_kcal_per_mol_atoms": -11.792, "dos_ef_per_ev_atom": 0.217, "lattice": [[9.682, 0.000, 0.000], [0.000, 9.682, 0.000], [0.000, 0.000, 2.964]], "species": ["Mg", "Mg", "Mg", "Mg", "Ta", "Ta", "B", "B", "B", "B", "Ir", "Ir", "Ir", "Ir", "Ir", "Ir", "Ir", "Ir", "Ir", "Ir"], "fractional_positions": [[0.177, 0.323, 0.000], [0.323, 0.823, 0.000], [0.677, 0.177, 0.000], [0.823, 0.677, 0.000], [0.000, 0.000, 0.000], [0.500, 0.500, 0.000], [0.121, 0.621, 0.000], [0.379, 0.121, 0.000], [0.621, 0.879, 0.000], [0.879, 0.379, 0.000], [0.000, 0.500, 0.500], [0.072, 0.779, 0.500], [0.221, 0.072, 0.500], [0.279, 0.572, 0.500], [0.428, 0.279, 0.500], [0.500, 0.000, 0.500], [0.572, 0.721, 0.500], [0.721, 0.428, 0.500], [0.779, 0.928, 0.500], [0.928, 0.221, 0.500]]}

2.
{"formula": "Ba2ScBr", "functional": "GGA-PBE", "state": "relaxed", "dft_energy_ev_per_atom": -3.146, "e_form_raw_ev_per_atom": -0.1838, "dos_ef_per_ev_atom": 1.426, "lattice": [[-2.446, 2.446, 7.279], [2.446, -2.446, 7.279], [2.446, 2.446, -7.279]], "species": ["Ba", "Ba", "Sc", "Br"], "fractional_positions": [[0.000, 0.000, 0.000], [0.750, 0.250, 0.500], [0.500, 0.500, 0.000], [0.250, 0.750, 0.500]]}

3.
{"formula": "Be2FeRe", "functional": "GGA-PBE", "state": "relaxed", "dft_energy_ev_per_atom": -7.121, "formation_energy_kcal_per_mol_atoms": -0.689, "dos_ef_per_ev_atom": 0.641, "lattice": [[-1.379, 1.937, 3.864], [1.379, -1.937, 3.864], [1.379, 1.937, -3.864]], "species": ["Be", "Be", "Fe", "Re"], "fractional_positions": [[0.000, 0.000, 0.000], [0.779, 0.279, 0.500], [0.533, 0.533, 0.000], [0.262, 0.762, 0.500]]}